VASP calculation (PBE+U) on an optimized crystal structure of Rb3V2AgF9.

Cell: 6.1247 6.1247 7.6441 Å, 90.00 90.00 120.00°
Fractional positions:
Rb 0.0000 0.0000 0.0000
Rb 0.3333 0.6667 0.6469
Rb 0.6667 0.3333 0.3531
V 0.3333 0.6667 0.1492
V 0.6667 0.3333 0.8508
Ag 0.0000 0.0000 0.5000
F 0.0000 0.5000 0.0000
F 0.1795 0.3590 0.3019
F 0.1795 0.8205 0.3019
F 0.3590 0.1795 0.6981
F 0.5000 0.0000 0.0000
F 0.5000 0.5000 0.0000
F 0.6410 0.8205 0.3019
F 0.8205 0.1795 0.6981
F 0.8205 0.6410 0.6981

Summary:
N(E_F) (states/eV/f.u.): 7.90
Electronic total energy (eV per atom): -5.063
Spin magnetization (μB/f.u.): 5.0